(1)
# CsCaGa3

A geometry-optimized CsCaGa3 structure (GGA-PBE, the Alexandria database).

Cell and atoms, written as POSCAR:
```
CsCaGa3
1.0
5.8643 0.0000 0.0000
0.0000 5.8643 0.0000
0.0000 0.0000 5.8643
Cs Ca Ga
1 1 3
direct
0.0000 0.0000 0.0000 Cs
0.5000 0.5000 0.5000 Ca
0.0000 0.0000 0.5000 Ga
0.0000 0.5000 0.0000 Ga
0.5000 0.0000 0.0000 Ga
```

DOS(E_F): 1.292 states/eV/atom
crystal system: cubic
total energy: -1.463 eV/atom
energy relative to the elements: 0.924 eV/atom

***

(2)
# HfGaTc

A geometry-optimized HfGaTc structure (GGA-PBE, the Alexandria database).

Cell and atoms, written as POSCAR:
```
HfGaTc
1.0
3.4403 0.0000 0.0000
0.0000 2.1884 6.6974
0.0000 -2.1884 6.6974
Hf Ga Tc
2 2 2
direct
0.0000 0.0000 0.0000 Hf
0.0000 0.3153 0.3153 Hf
0.0000 0.6696 0.6696 Ga
0.5000 0.4896 0.4896 Ga
0.5000 0.1559 0.1559 Tc
0.5000 0.8302 0.8302 Tc
```

DOS(E_F): 0.472 states/eV/atom
crystal system: orthorhombic
total energy: -8.169 eV/atom
energy relative to the elements: -0.387 eV/atom

***

(3)
# Sm2HoCu4

A geometry-optimized Sm2HoCu4 structure (GGA-PBE, the Alexandria database).

Cell and atoms, written as POSCAR:
```
Sm2HoCu4
1.0
5.0586 -2.2133 0.0000
5.0586 2.2133 0.0000
-2.0801 0.0000 6.4483
Sm Ho Cu
2 1 4
direct
0.1472 0.1472 0.2243 Sm
0.8528 0.8528 0.7757 Sm
0.5000 0.5000 0.5000 Ho
0.1519 0.1519 0.7560 Cu
0.3987 0.3987 0.0722 Cu
0.6013 0.6013 0.9278 Cu
0.8481 0.8481 0.2440 Cu
```

DOS(E_F): 0.722 states/eV/atom
crystal system: monoclinic
total energy: -4.523 eV/atom
energy relative to the elements: -0.180 eV/atom

***

(4)
# Y2Ni2Hg

A geometry-optimized Y2Ni2Hg structure (GGA-PBE, the Alexandria database).

Cell and atoms, written as POSCAR:
```
Y2Ni2Hg
1.0
-1.7603 1.7603 8.5391
1.7603 -1.7603 8.5391
1.7603 1.7603 -8.5391
Y Ni Hg
2 2 1
direct
0.1234 0.1234 0.0000 Y
0.8766 0.8766 0.0000 Y
0.2500 0.7500 0.5000 Ni
0.7500 0.2500 0.5000 Ni
0.5000 0.5000 0.0000 Hg
```

DOS(E_F): 0.921 states/eV/atom
crystal system: tetragonal
total energy: -5.207 eV/atom
energy relative to the elements: -0.248 eV/atom

***

(5)
# Hf3MoAu

A geometry-optimized Hf3MoAu structure (GGA-PBE, the Alexandria database).

Cell and atoms, written as POSCAR:
```
Hf3MoAu
1.0
5.0250 0.0000 0.0000
0.0000 5.0250 0.0000
0.0000 0.0000 5.0250
Hf Mo Au
3 1 1
direct
0.0000 0.0000 0.5000 Hf
0.0000 0.5000 0.0000 Hf
0.5000 0.0000 0.0000 Hf
0.5000 0.5000 0.5000 Mo
0.0000 0.0000 0.0000 Au
```

DOS(E_F): 1.603 states/eV/atom
crystal system: cubic
total energy: -7.584 eV/atom
energy relative to the elements: 1.210 eV/atom

***

(6)
# ZrFe2Cl

A geometry-optimized ZrFe2Cl structure (GGA-PBE, the Alexandria database).

Cell and atoms, written as POSCAR:
```
ZrFe2Cl
1.0
3.0463 0.0000 0.0000
0.0000 3.0463 0.0000
0.0000 0.0000 8.1434
Zr Fe Cl
1 2 1
direct
0.0000 0.0000 0.0000 Zr
0.0000 0.0000 0.6341 Fe
0.5000 0.5000 0.7745 Fe
0.5000 0.5000 0.2153 Cl
```

DOS(E_F): 0.810 states/eV/atom
crystal system: tetragonal
total energy: -6.977 eV/atom
E_form (uncorrected): -147 meV/atom